VASP calculation (PBE) on crystalline ZnAg3Mo at its relaxed geometry.

## Properties
N(E_F) = 1.021 states/eV per atom
Offset from the most stable computed form = 316 meV per atom

abc: 5.2454 5.2454 5.2454
angles: 90.00 90.00 90.00
With the nearest neighbours (Å) after each atom.
Space group Pm-3m (No. 221)
Unique sites:
Zn: 0.0000 0.0000 0.0000 x1  12 Ag 3.71
Ag: 0.0000 0.5000 0.5000 x3  2 Mo 2.62
Mo: 0.5000 0.5000 0.5000 x1  6 Ag 2.62


VASP calculation (PBE) on crystalline Ce2IrCl at its relaxed geometry.

## Properties
N(E_F) = 2.945 states/eV per atom
Offset from the most stable computed form = 0 meV per atom
ΔE_f (raw) = -1.157 eV/atom

abc: 4.0778 4.0778 22.0242
angles: 90.00 90.00 120.00
With the nearest neighbours (Å) after each atom.
Space group R-3m (No. 166, hexagonal axes)
Unique sites:
Ce: 0.0000 0.0000 0.2362 x6  3 Ir 2.81
Ir: 0.0000 0.0000 0.5000 x3  6 Ce 2.81
Cl: 0.0000 0.0000 0.0000 x3  6 Ce 3.18


VASP calculation (PBE) on crystalline Ba3Mg2Ag2Hg4 at its relaxed geometry.

## Properties
E_tot = -1.76 eV/atom
N(E_F) = 0.603 states/eV per atom

abc: 5.0317 5.0317 16.1186
angles: 90.00 90.00 120.00
With the nearest neighbours (Å) after each atom.
Space group P-3m1 (No. 164)
Unique sites:
Ba: 0.0000 0.0000 0.0000 x1  6 Hg 3.63, 6 Ag 3.64
Ba: 0.0000 0.0000 0.2689 x2  6 Hg 3.52-3.62, 3 Ag 3.61, 3 Mg 3.92
Mg: 0.3333 0.6667 0.5677 x2  4 Hg 2.82-2.97
Ag: 0.3333 0.6667 0.1356 x2  3 Hg 2.91
Hg: 0.3333 0.6667 0.3927 x2  4 Mg 2.82-2.97
Hg: 0.3333 0.6667 0.8652 x2  3 Ag 2.91


VASP calculation (PBE) on crystalline RbCeF4 at its relaxed geometry.

## Properties
N(E_F) = 0.881 states/eV per atom
Offset from the most stable computed form = 135 meV per atom
ΔE_f (raw) = -3.468 eV/atom

abc: 8.6715 11.5560 6.3420
angles: 90.00 126.28 90.00
With the nearest neighbours (Å) after each atom.
Space group C2/c (No. 15)
Unique sites:
Rb: 0.0000 0.1447 0.2500 x4  8 F 2.85-3.06
Ce: 0.0000 0.4776 0.7500 x4  8 F 2.36-2.50
F: 0.0902 0.3522 0.5458 x8  2 Ce 2.36-2.50, 2 F 2.55-2.61
F: 0.2472 0.4497 0.2139 x8  2 Ce 2.43-2.44, 2 F 2.55-2.61


VASP calculation (PBE) on crystalline LiHo2Ag at its relaxed geometry.

## Properties
N(E_F) = 0.749 states/eV per atom
Offset from the most stable computed form = 182 meV per atom

abc: 3.4014 3.4014 30.7095
angles: 90.00 90.00 120.00
With the nearest neighbours (Å) after each atom.
Space group R-3m (No. 166, hexagonal axes)
Unique sites:
Li: 0.0000 0.0000 0.0000 x3  6 Ho 3.34, 6 Li 3.40
Ho: 0.0000 0.0000 0.2452 x6  3 Ag 3.11, 3 Li 3.34, 6 Ho 3.40
Ag: 0.0000 0.0000 0.5000 x3  6 Ho 3.11, 6 Ag 3.40


VASP calculation (PBE) on crystalline YN at its relaxed geometry.

## Properties
N(E_F) = 0.028 states/eV per atom
ΔE_f (raw) = -1.693 eV/atom

abc: 4.9197 4.9197 4.9197
angles: 90.00 90.00 90.00
With the nearest neighbours (Å) after each atom.
Space group Fm-3m (No. 225)
Unique sites:
Y: 0.0000 0.0000 0.0000 x4  6 N 2.46
N: 0.0000 0.0000 0.5000 x4  6 Y 2.46


VASP calculation (PBE) on crystalline YRhCl6 at its relaxed geometry.

## Properties
ΔE_f (raw) = -1.331 eV/atom

abc: 6.3046 6.3046 17.1899
angles: 90.00 90.00 120.00
With the nearest neighbours (Å) after each atom.
Space group R-3 (No. 148, hexagonal axes)
Unique sites:
Y: 0.0000 0.0000 0.0000 x3  6 Cl 2.68
Rh: 0.0000 0.0000 0.5000 x3  6 Cl 2.37
Cl: 0.0065 0.6948 0.4209 x18  1 Rh 2.37


VASP calculation (PBE) on crystalline CsCd3C at its relaxed geometry.

## Properties
N(E_F) = 0.749 states/eV per atom
Offset from the most stable computed form = 0 meV per atom

abc: 5.1589 5.1589 5.1589
angles: 90.00 90.00 90.00
With the nearest neighbours (Å) after each atom.
Space group Pm-3m (No. 221)
Unique sites:
Cs: 0.0000 0.0000 0.0000 x1  12 Cd 3.65
Cd: 0.0000 0.5000 0.5000 x3  2 C 2.58
C: 0.5000 0.5000 0.5000 x1  6 Cd 2.58


VASP calculation (PBE) on crystalline CdSiB2 at its relaxed geometry.

## Properties
N(E_F) = 0.508 states/eV per atom
Offset from the most stable computed form = 647 meV per atom
ΔE_f (raw) = 1.522 eV/atom

abc: 5.9032 5.9032 5.9032
angles: 90.00 90.00 90.00
With the nearest neighbours (Å) after each atom.
Space group Fm-3m (No. 225)
Unique sites:
Cd: 0.0000 0.0000 0.0000 x4  8 B 2.56
Si: 0.0000 0.0000 0.5000 x4  8 B 2.56
B: 0.2500 0.2500 0.2500 x8  4 Si 2.56, 4 Cd 2.56


VASP calculation (PBE) on crystalline Tb3ScSb4 at its relaxed geometry.

## Properties
N(E_F) = 0.111 states/eV per atom
ΔE_f (raw) = -1.083 eV/atom

abc: 7.5237 8.7112 7.5273
angles: 90.00 109.49 90.00
With the nearest neighbours (Å) after each atom.
Space group P2/c (No. 13)
Unique sites:
Tb: 0.0000 0.1244 0.2500 x2  6 Sb 3.07-3.14
Tb: 0.0000 0.3737 0.7500 x2  6 Sb 3.07-3.15
Tb: 0.5000 0.3742 0.2500 x2  6 Sb 3.07-3.08
Sc: 0.5000 0.1244 0.7500 x2  6 Sb 3.00-3.02
Sb: 0.2549 0.3697 0.5053 x4  1 Sc 3.02, 5 Tb 3.07-3.15
Sb: 0.2609 0.1193 0.9998 x4  2 Sc 3.00-3.01, 4 Tb 3.07-3.14


VASP calculation (PBE) on crystalline Tb4SbAu at its relaxed geometry.

## Properties
N(E_F) = 1.170 states/eV per atom
ΔE_f (raw) = -0.459 eV/atom

abc: 7.2551 7.2597 7.2535
angles: 90.00 90.35 90.00
With the nearest neighbours (Å) after each atom.
Space group P2_1/c (No. 14)
Unique sites:
Tb: 0.1445 0.1632 0.1673 x4  2 Au 2.89-2.92, 1 Sb 3.09
Tb: 0.3374 0.6463 0.1454 x4  1 Au 2.86, 2 Sb 3.02
Sb: 0.5000 0.0000 0.0000 x2  6 Tb 3.02-3.09
Au: 0.0000 0.0000 0.5000 x2  6 Tb 2.86-2.92


VASP calculation (PBE) on crystalline KCeSb2Pt2 at its relaxed geometry.

## Properties
N(E_F) = 0.681 states/eV per atom
ΔE_f (raw) = -0.818 eV/atom

abc: 4.4502 4.4502 9.8000
angles: 90.00 90.00 120.00
With the nearest neighbours (Å) after each atom.
Space group P-3m1 (No. 164)
Unique sites:
K: 0.0000 0.0000 0.0000 x1  6 Sb 3.62
Ce: 0.0000 0.0000 0.5000 x1  6 Pt 3.09
Sb: 0.3333 0.6667 0.7393 x2  3 Pt 2.65
Pt: 0.3333 0.6667 0.3256 x2  3 Sb 2.65


VASP calculation (PBE) on crystalline CaLa2RhN at its relaxed geometry.

## Properties
N(E_F) = 0.678 states/eV per atom
ΔE_f (raw) = -0.654 eV/atom

abc: 5.0301 5.0301 4.6779
angles: 90.00 90.00 90.00
With the nearest neighbours (Å) after each atom.
Space group P4/mmm (No. 123)
Unique sites:
Ca: 0.0000 0.0000 0.0000 x1  2 N 2.34
La: 0.0000 0.5000 0.5000 x2  2 N 2.52
Rh: 0.5000 0.5000 0.0000 x1  8 La 3.43, 4 Ca 3.56
N: 0.0000 0.0000 0.5000 x1  2 Ca 2.34, 4 La 2.52


VASP calculation (PBE) on crystalline AcTh2Tc at its relaxed geometry.

## Properties
N(E_F) = 1.672 states/eV per atom
Offset from the most stable computed form = 19 meV per atom

abc: 3.5986 3.5986 9.1682
angles: 90.00 90.00 90.00
With the nearest neighbours (Å) after each atom.
Space group P4/mmm (No. 123)
Unique sites:
Ac: 0.0000 0.0000 0.0000 x1  4 Ac 3.60, 8 Th 3.82
Th: 0.5000 0.5000 0.3105 x2  4 Tc 3.08
Tc: 0.0000 0.0000 0.5000 x1  8 Th 3.08


VASP calculation (PBE) on crystalline TbCeTlO2 at its relaxed geometry.

## Properties
N(E_F) = 0.563 states/eV per atom
ΔE_f (raw) = -2.428 eV/atom

abc: 3.9396 3.9396 13.4799
angles: 90.00 90.00 90.00
With the nearest neighbours (Å) after each atom.
Space group I4mm (No. 107)
Unique sites:
Tb: 0.0000 0.0000 0.0000 x2  4 O 2.27
Ce: 0.0000 0.0000 0.3290 x2  4 O 2.30
Tl: 0.0000 0.0000 0.6708 x2  4 Ce 3.51, 4 Tb 3.61, 4 O 3.86
O: 0.0000 0.5000 0.4170 x4  2 Tb 2.27, 2 Ce 2.30


VASP calculation (PBE) on crystalline SrLi2Cl at its relaxed geometry.

## Properties
N(E_F) = 0.242 states/eV per atom
Offset from the most stable computed form = 15 meV per atom
ΔE_f (raw) = -0.716 eV/atom

abc: 3.8482 3.8482 27.8084
angles: 90.00 90.00 120.00
With the nearest neighbours (Å) after each atom.
Space group R-3m (No. 166, hexagonal axes)
Unique sites:
Sr: 0.0000 0.0000 0.0000 x3  6 Sr 3.85, 6 Li 3.91
Li: 0.0000 0.0000 0.2178 x6  3 Cl 2.64
Cl: 0.0000 0.0000 0.5000 x3  6 Li 2.64


VASP calculation (PBE) on crystalline HfAgSe3 at its relaxed geometry.

## Properties
N(E_F) = 0.596 states/eV per atom
Offset from the most stable computed form = 1141 meV per atom
ΔE_f (raw) = 0.506 eV/atom

abc: 4.9545 4.9545 4.9545
angles: 90.00 90.00 90.00
With the nearest neighbours (Å) after each atom.
Space group Pm-3m (No. 221)
Unique sites:
Hf: 0.0000 0.0000 0.0000 x1  12 Se 3.50
Ag: 0.5000 0.5000 0.5000 x1  6 Se 2.48
Se: 0.0000 0.5000 0.5000 x3  2 Ag 2.48


VASP calculation (PBE) on crystalline MnRu2 at its relaxed geometry.

## Properties
E_tot = -9.13 eV/atom
N(E_F) = 1.276 states/eV per atom

abc: 2.6598 2.6598 11.1651
angles: 90.00 90.00 90.00
With the nearest neighbours (Å) after each atom.
Space group I4/mmm (No. 139)
Unique sites:
Mn: 0.0000 0.0000 0.0000 x2  8 Ru 2.61, 4 Mn 2.66
Ru: 0.0000 0.0000 0.3376 x4  4 Mn 2.61, 8 Ru 2.66-2.71


VASP calculation (PBE) on crystalline PmFeP2Os at its relaxed geometry.

## Properties
E_tot = -7.89 eV/atom
N(E_F) = 0.362 states/eV per atom

abc: 3.9794 3.9794 9.9387
angles: 90.00 90.00 90.00
With the nearest neighbours (Å) after each atom.
Space group I-4m2 (No. 119)
Unique sites:
Pm: 0.0000 0.0000 0.0000 x2  8 P 3.11, 4 Fe 3.18, 4 Os 3.18
Fe: 0.0000 0.5000 0.2500 x2  4 P 2.30
P: 0.0000 0.0000 0.3666 x4  2 Fe 2.30, 2 Os 2.30
Os: 0.0000 0.5000 0.7500 x2  4 P 2.30


VASP calculation (PBE) on crystalline Ac6TlTe8 at its relaxed geometry.

## Properties
N(E_F) = 0.330 states/eV per atom
Offset from the most stable computed form = 0 meV per atom
ΔE_f (raw) = -1.405 eV/atom

abc: 13.3704 13.3704 13.3704
angles: 90.00 90.00 90.00
With the nearest neighbours (Å) after each atom.
Space group Fm-3m (No. 225)
Unique sites:
Ac: 0.0000 0.2500 0.2500 x24  6 Te 3.34
Tl: 0.0000 0.0000 0.0000 x4  6 Te 3.43
Te: 0.0000 0.0000 0.2569 x24  4 Ac 3.34, 1 Tl 3.43
Te: 0.2500 0.2500 0.2500 x8  6 Ac 3.34


VASP calculation (PBE) on crystalline PWS2N at its relaxed geometry.

## Properties
N(E_F) = 0.570 states/eV per atom
Offset from the most stable computed form = 341 meV per atom
ΔE_f (raw) = 0.916 eV/atom

abc: 4.6523 4.6523 3.1906
angles: 90.00 90.00 90.00
With the nearest neighbours (Å) after each atom.
Space group P4/mmm (No. 123)
Unique sites:
P: 0.0000 0.0000 0.0000 x1  2 N 1.60
W: 0.5000 0.5000 0.5000 x1  8 S 2.82
S: 0.0000 0.5000 0.0000 x2  2 P 2.33
N: 0.0000 0.0000 0.5000 x1  2 P 1.60


VASP calculation (PBE) on crystalline Nd4TlSeS2 at its relaxed geometry.

## Properties
N(E_F) = 0.469 states/eV per atom
ΔE_f (raw) = -1.523 eV/atom

abc: 7.3570 4.1489 7.3980
angles: 90.00 108.57 90.00
With the nearest neighbours (Å) after each atom.
Space group P2/m (No. 10)
Unique sites:
Nd: 0.2329 0.0000 0.2263 x2  3 S 2.87-2.96, 1 Se 3.04, 2 Tl 3.12
Nd: 0.2515 0.5000 0.7676 x2  3 S 2.90-2.93, 2 Se 3.05, 1 Tl 3.09
Tl: 0.5000 0.5000 0.5000 x1  6 Nd 3.09-3.12
Se: 0.0000 0.0000 0.5000 x1  6 Nd 3.04-3.05
S: 0.0000 0.5000 0.0000 x1  6 Nd 2.87-2.90
S: 0.5000 0.0000 0.0000 x1  6 Nd 2.93-2.96


VASP calculation (PBE) on crystalline Li3CF at its relaxed geometry.

## Properties
N(E_F) = 0.359 states/eV per atom
Offset from the most stable computed form = 0 meV per atom
ΔE_f (raw) = -0.495 eV/atom

abc: 3.6759 3.6759 3.6759
angles: 90.00 90.00 90.00
With the nearest neighbours (Å) after each atom.
Space group Pm-3m (No. 221)
Unique sites:
Li: 0.0000 0.0000 0.5000 x3  2 F 1.84
C: 0.5000 0.5000 0.5000 x1  12 Li 2.60
F: 0.0000 0.0000 0.0000 x1  6 Li 1.84


VASP calculation (PBE) on crystalline SiTcMo at its relaxed geometry.

## Properties
N(E_F) = 0.772 states/eV per atom
Offset from the most stable computed form = 313 meV per atom
ΔE_f (raw) = -0.060 eV/atom

abc: 2.8473 2.8473 6.2219
angles: 90.00 90.00 120.00
With the nearest neighbours (Å) after each atom.
Space group P3m1 (No. 156)
Unique sites:
Si: 0.0000 0.0000 0.0000 x1  3 Tc 2.57, 3 Mo 2.68, 6 Si 2.85
Tc: 0.3333 0.6667 0.3174 x1  3 Si 2.57, 3 Mo 2.70, 6 Tc 2.85
Mo: 0.6667 0.3333 0.6607 x1  3 Si 2.68, 3 Tc 2.70, 6 Mo 2.85


VASP calculation (PBE) on crystalline LaPb5 at its relaxed geometry.

## Properties
N(E_F) = 0.759 states/eV per atom
Offset from the most stable computed form = 103 meV per atom

abc: 3.6131 3.6131 14.5899
angles: 90.00 90.00 90.00
With the nearest neighbours (Å) after each atom.
Space group P4/mmm (No. 123)
Unique sites:
La: 0.0000 0.0000 0.0000 x1  8 Pb 3.52, 4 La 3.61
Pb: 0.0000 0.0000 0.3327 x2  12 Pb 3.53-3.61
Pb: 0.5000 0.5000 0.1662 x2  4 La 3.52, 8 Pb 3.53-3.61
Pb: 0.5000 0.5000 0.5000 x1  12 Pb 3.53-3.61


VASP calculation (PBE) on crystalline Na6VBr8 at its relaxed geometry.

## Properties
ΔE_f (raw) = -1.407 eV/atom

abc: 11.9579 11.9579 11.9579
angles: 90.00 90.00 90.00
With the nearest neighbours (Å) after each atom.
Space group Fm-3m (No. 225)
Unique sites:
Na: 0.0000 0.2500 0.2500 x24  6 Br 2.99-3.01
V: 0.0000 0.0000 0.0000 x4  6 Br 2.68
Br: 0.0000 0.0000 0.2243 x24  1 V 2.68
Br: 0.2500 0.2500 0.2500 x8  6 Na 2.99